Here is Th6NiHg3 after structural relaxation from Alexandria via LeMat-Bulk. Energies are from GGA-PBE. Values from VASP.

Output
As for the crystal system: trigonal. Its space group is R-3m, No. 166. The calculation puts the formation energy at -0.07 eV per atom.

Quantum ESPRESSO input file:
```
&SYSTEM
  ibrav = 0, nat = 20, ntyp = 3
/
ATOMIC_SPECIES
Hg 200.59 Hg.upf
Th 232.04 Th.upf
Ni 58.69 Ni.upf
ATOMIC_POSITIONS crystal
Hg 0.8728 0.8728 0.4846
Th 0.1148 0.7813 0.7812
Th 0.4872 0.8210 0.4871
Th 0.7813 0.7812 0.1148
Th 0.5128 0.1790 0.5129
Th 0.2188 0.8852 0.2187
Th 0.1790 0.5129 0.5128
Hg 0.4846 0.8728 0.8728
Th 0.5129 0.5128 0.1790
Hg 0.1272 0.5154 0.1272
Th 0.8852 0.2187 0.2188
Th 0.7812 0.1148 0.7813
Ni 0.5000 0.5000 0.5000
Hg 0.8728 0.4846 0.8728
Hg 0.1272 0.1272 0.5154
Hg 0.5154 0.1272 0.1272
Th 0.8210 0.4871 0.4872
Th 0.2187 0.2188 0.8852
Ni 0.0000 0.0000 0.0000
Th 0.4871 0.4872 0.8210
CELL_PARAMETERS angstrom
8.3238 0.5584 0.5710
0.3777 8.3340 0.5710
0.3777 0.3860 8.3446
```

***

Here is Ba4AsN after structural relaxation from Alexandria via LeMat-Bulk. Energies are from GGA-PBE. Values from VASP.

Output
The formation energy without anion corrections comes out at -575 meV per atom. As for the crystal system: monoclinic. Its space group is P2/m, No. 10.

Quantum ESPRESSO input file:
```
&SYSTEM
  ibrav = 0, nat = 6, ntyp = 3
/
ATOMIC_SPECIES
Ba 137.33 Ba.upf
N 14.01 N.upf
As 74.92 As.upf
ATOMIC_POSITIONS crystal
Ba 0.0000 0.7885 0.7214
Ba 0.0000 0.2115 0.2786
N 0.0000 0.0000 0.0000
Ba 0.5000 0.1983 0.8477
Ba 0.5000 0.8017 0.1523
As 0.5000 0.0000 0.5000
CELL_PARAMETERS angstrom
-4.3952 0.1739 0.1100
-0.2846 -7.7834 0.9301
0.2146 0.5081 7.7690
```

***

Here is OsW3Br after structural relaxation from Alexandria via LeMat-Bulk. Energies are from GGA-PBE. Values from VASP.

Output
The formation energy without anion corrections comes out at 2446 meV per atom. The value obtained for the excess energy over the best structure of this formula in the dataset is 233.1 meV per atom. As for the crystal system: cubic. Its space group is Pm-3m, No. 221.

Quantum ESPRESSO input file:
```
&SYSTEM
  ibrav = 0, nat = 5, ntyp = 3
/
ATOMIC_SPECIES
W 183.84 W.upf
Br 79.90 Br.upf
Os 190.23 Os.upf
ATOMIC_POSITIONS crystal
W 0.5000 0.0000 0.0000
W 0.0000 0.0000 0.5000
Br 0.0000 0.0000 0.0000
W 0.0000 0.5000 0.0000
Os 0.5000 0.5000 0.5000
CELL_PARAMETERS angstrom
-4.1233 -1.1483 -1.4521
1.5580 -4.0674 -1.2075
-1.0000 -1.6021 4.1064
```

***

Here is Hf2MnHg after structural relaxation from Alexandria via LeMat-Bulk. Energies are from GGA-PBE. Values from VASP.

Output
As for the crystal system: tetragonal. Its space group is I-42d, No. 122. The calculation puts the formation energy at 0.78 eV per atom.

Quantum ESPRESSO input file:
```
&SYSTEM
  ibrav = 0, nat = 8, ntyp = 3
/
ATOMIC_SPECIES
Hf 178.49 Hf.upf
Hg 200.59 Hg.upf
Mn 54.94 Mn.upf
ATOMIC_POSITIONS crystal
Hf 0.1382 0.6250 0.2500
Hf 0.6118 0.1250 0.2500
Hf 0.8750 0.8618 0.7500
Hg 0.7500 0.2500 0.5000
Hg 0.0000 0.0000 0.0000
Mn 0.5000 0.5000 0.0000
Hf 0.3750 0.3882 0.7500
Mn 0.2500 0.7500 0.5000
CELL_PARAMETERS angstrom
4.1537 0.0000 0.0000
0.0000 4.1537 0.0000
2.0768 2.0768 9.5262
```

***

In g/cm3, the theoretical density values for the records above are, in order, 11.88; 3.95; 14.78; 12.38.
In eV per atom, the calculated total energy values for the records above are, in order, -5.19; -4.02; -7.91; -6.56.